1.
The following is a DFT calculation (PBE) of an optimized crystal structure of Th3Br2.

* total magnetization: 0.0 Bohr magnetons per cell
* electronic total energy: -162.81 eV for the cell shown

Cell lengths 6.7590, 6.7590, 22.8028 Å; angles 90.00, 90.00, 120.00 degrees
Space group R-3c (No. 167, hexagonal axes)
Unique sites:
Th  0.0000  0.3633  0.2500
Br  0.0000  0.0000  0.1735

=====

2.
The following is a DFT calculation (PBE) of an optimized crystal structure of ZrO.

* total magnetization: 0.0 Bohr magnetons per cell
* electronic total energy: -71.67 eV for the cell shown

Cell lengths 4.599, 4.599, 4.599 Å; angles 90.00, 90.00, 90.00 degrees
Space group Fm-3m (No. 225)
Unique sites:
Zr  0.000  0.000  0.000
O  0.000  0.000  0.500

=====

3.
The following is a DFT calculation (PBE) of an optimized crystal structure of NdCoC2.

* total magnetization: 0.0 Bohr magnetons per cell
* electronic total energy: -125.57 eV for the cell shown

Cell lengths 5.381, 5.370, 7.418 Å; angles 90.00, 101.95, 90.00 degrees
Space group Cc (No. 9)
Unique sites:
Nd  0.000  0.074  0.000
Co  0.441  0.072  0.807
C  0.017  0.426  0.574
C  0.171  0.321  0.727

=====

4.
The following is a DFT calculation (PBE) of an optimized crystal structure of DyHoTm2Mg2.

* total magnetization: 0.1 Bohr magnetons per cell
* electronic total energy: -43.11 eV for the cell shown

Cell lengths 5.429, 3.607, 17.164 Å; angles 90.00, 90.00, 90.00 degrees
Space group Amm2 (No. 38)
Unique sites:
Dy  0.000  0.000  0.000
Ho  0.500  0.000  0.809
Tm  0.000  0.000  0.679
Tm  0.500  0.000  0.131
Mg  0.000  0.000  0.340
Mg  0.500  0.000  0.469

=====

5.
The following is a DFT calculation (PBE) of an optimized crystal structure of LaNdBrN.

* energy relative to the lowest polymorph listed for this composition: 0.000 eV per atom
* total magnetization: 0.0 Bohr magnetons per cell
* electronic total energy: -50.98 eV for the cell shown

Cell lengths 3.7484, 3.7484, 14.8133 Å; angles 90.00, 90.00, 120.00 degrees
Space group P-6m2 (No. 187)
Unique sites:
La  0.0000  0.0000  0.1619
Nd  0.6667  0.3333  0.3430
Br  0.0000  0.0000  0.5000
Br  0.6667  0.3333  0.0000
N  0.3333  0.6667  0.2567

=====

6.
The following is a DFT calculation (PBE) of an optimized crystal structure of PrSc2O4.

* total magnetization: 0.1 Bohr magnetons per cell
* electronic total energy: -477.28 eV for the cell shown

Cell lengths 9.249, 9.249, 9.249 Å; angles 90.00, 90.00, 90.00 degrees
Space group Fd-3m (No. 227, origin choice 2)
Unique sites:
Pr  0.125  0.125  0.125
Sc  0.000  0.000  0.500
O  0.016  0.016  0.734

=====

7.
The following is a DFT calculation (PBE) of an optimized crystal structure of FeSiHgMo.

* energy relative to the lowest polymorph listed for this composition: 0.000 eV per atom
* total magnetization: 9.7 Bohr magnetons per cell
* electronic total energy: -91.85 eV for the cell shown

Cell lengths 6.242, 6.242, 6.242 Å; angles 90.00, 90.00, 90.00 degrees
Space group F-43m (No. 216)
Unique sites:
Fe  0.000  0.000  0.000
Si  0.250  0.250  0.750
Hg  0.250  0.250  0.250
Mo  0.000  0.000  0.500

=====

8.
The following is a DFT calculation (PBE) of an optimized crystal structure of TmZr3C2Se2.

* total magnetization: 0.0 Bohr magnetons per cell
* electronic total energy: -64.97 eV for the cell shown

Cell lengths 3.5191, 3.5191, 12.8122 Å; angles 90.00, 90.00, 120.00 degrees
Space group P3m1 (No. 156)
Unique sites:
Tm  0.0000  0.0000  0.0000
Zr  0.0000  0.0000  0.3087
Zr  0.3333  0.6667  0.4969
Zr  0.3333  0.6667  0.8013
C  0.6667  0.3333  0.4028
C  0.6667  0.3333  0.8936
Se  0.0000  0.0000  0.6489
Se  0.3333  0.6667  0.1596